Record 1
DFT (PBE) results for a relaxed structure of BaMnSb2Te.

Output
E above lowest polymorph (meV/atom): 1336
Uncorrected formation energy (eV/atom): 1.09

abc: 6.3120 6.3120 6.3478
angles: 90.00 90.00 90.00
Last column: magnetic moment on the atom in μB.
Fractional coordinates of all 5 atoms:
Sb: 0.5000 0.0000 0.0000  -0.16
Mn: 0.5000 0.5000 0.5000  4.72
Sb: 0.0000 0.5000 0.0000  -0.16
Ba: 0.0000 0.0000 0.0000  0.01
Te: 0.0000 0.0000 0.5000  -0.03



Record 2
DFT (PBE) results for a relaxed structure of SmHoW2N6.

Output
Uncorrected formation energy (eV/atom): -0.98

abc: 6.3948 7.4562 7.4562
angles: 81.21 72.78 72.78
Fractional coordinates of all 20 atoms:
W: 0.7143 0.2034 0.3783
Ho: 0.7500 0.7127 0.2873
N: 0.6504 0.1208 0.6232
N: 0.4154 0.3372 0.3667
Sm: 0.2500 0.9062 0.0938
N: 0.1504 0.6232 0.1208
Ho: 0.2500 0.2873 0.7127
W: 0.2857 0.7966 0.6217
N: 0.1618 0.9993 0.7750
N: 0.0846 0.6333 0.6628
W: 0.7857 0.6217 0.7966
N: 0.6618 0.7750 0.9993
N: 0.8382 0.0007 0.2250
Sm: 0.7500 0.0938 0.9062
N: 0.8496 0.3768 0.8792
N: 0.3382 0.2250 0.0007
N: 0.3496 0.8792 0.3768
N: 0.9154 0.3667 0.3372
W: 0.2143 0.3783 0.2034
N: 0.5846 0.6628 0.6333



Record 3
DFT (PBE) results for a relaxed structure of Ca2MgAl12Ir3.

Output
Formation energy (eV per formula unit): -0.4

abc: 7.9507 7.9507 7.9507
angles: 68.80 68.80 68.80
Fractional coordinates of all 18 atoms:
Al: 0.7390 0.1283 0.7390
Al: 0.3797 0.8591 0.8591
Al: 0.7390 0.7390 0.1283
Ca: 0.5957 0.5957 0.5957
Mg: 0.0000 0.0000 0.0000
Al: 0.6203 0.1409 0.1409
Ca: 0.4043 0.4043 0.4043
Al: 0.1283 0.7390 0.7390
Al: 0.8591 0.3797 0.8591
Ir: 0.0000 0.0000 0.5000
Ir: 0.5000 0.0000 0.0000
Al: 0.8591 0.8591 0.3797
Al: 0.2610 0.2610 0.8717
Al: 0.2610 0.8717 0.2610
Al: 0.1409 0.6203 0.1409
Al: 0.8717 0.2610 0.2610
Ir: 0.0000 0.5000 0.0000
Al: 0.1409 0.1409 0.6203



Record 4
DFT (PBE) results for a relaxed structure of La6Bi2TeAs3.

Output
Uncorrected formation energy (eV/atom): -1.42

abc: 4.4971 9.0806 10.1250
angles: 103.71 102.83 90.00
Fractional coordinates of all 12 atoms:
As: 0.8340 0.1661 0.6681
La: 0.0049 0.7366 0.0097
Bi: 0.8342 0.6683 0.6684
Bi: 0.1658 0.3317 0.3316
La: 0.9951 0.2634 0.9903
As: 0.1660 0.8339 0.3319
La: 0.3284 0.9282 0.6569
La: 0.3377 0.4057 0.6754
As: 0.5000 0.5000 0.0000
La: 0.6716 0.0718 0.3431
La: 0.6623 0.5943 0.3246
Te: 0.5000 0.0000 0.0000



Record 5
DFT (PBE) results for a relaxed structure of PmZnGe2Pd.

Output
Formation energy (eV per formula unit): -3.4

abc: 4.1859 4.1859 6.1508
angles: 109.89 109.89 90.00
Fractional coordinates of all 5 atoms:
Pm: 0.0000 0.0000 0.0000
Ge: 0.3846 0.3846 0.7692
Zn: 0.2500 0.7500 0.5000
Pd: 0.7500 0.2500 0.5000
Ge: 0.6154 0.6154 0.2308



Record 6
DFT (PBE) results for a relaxed structure of Pm5SmHo6.

Output
Formation energy (eV per formula unit): 0.2

abc: 5.0848 10.0791 9.4823
angles: 122.10 105.54 90.00
Fractional coordinates of all 12 atoms:
Ho: 0.1666 0.4164 0.3332
Ho: 0.5000 0.7503 0.0000
Pm: 0.3334 0.3334 0.6668
Ho: 0.8334 0.0832 0.6668
Pm: 0.0000 0.5000 0.0000
Ho: 0.1666 0.9168 0.3332
Pm: 0.6664 0.1664 0.3329
Ho: 0.5000 0.2497 0.0000
Pm: 0.3336 0.8336 0.6671
Sm: 0.0000 0.0000 0.0000
Ho: 0.8334 0.5836 0.6668
Pm: 0.6666 0.6666 0.3332



Record 7
DFT (PBE) results for a relaxed structure of Cs3Pu2NpO9.

Output
Uncorrected formation energy (eV/atom): -2.51

abc: 6.2121 6.2121 7.6042
angles: 90.00 90.00 120.00
Last column: magnetic moment on the atom in μB.
Fractional coordinates of all 15 atoms:
O: 0.8394 0.1606 0.6609  -0.03
Pu: 0.6667 0.3333 0.8363  3.87
Cs: 0.3333 0.6667 0.6653  0.00
Cs: 0.6667 0.3333 0.3347  0.00
O: 0.0000 0.5000 0.0000  -0.17
O: 0.5000 0.5000 0.0000  -0.17
O: 0.1606 0.3212 0.3391  -0.03
O: 0.3212 0.1606 0.6609  -0.03
O: 0.8394 0.6788 0.6609  -0.03
Np: 0.0000 0.0000 0.5000  -1.18
O: 0.1606 0.8394 0.3391  -0.03
O: 0.6788 0.8394 0.3391  -0.03
Cs: 0.0000 0.0000 0.0000  0.01
O: 0.5000 0.0000 0.0000  -0.17
Pu: 0.3333 0.6667 0.1637  3.87



Record 8
DFT (PBE) results for a relaxed structure of Be2NiW.

Output
Formation energy (eV per formula unit): 0.1
E above lowest polymorph (meV/atom): 189

abc: 3.5984 3.6028 3.3828
angles: 90.00 90.00 90.00
Fractional coordinates of all 4 atoms:
Be: 0.0000 0.0000 0.0000
W: 0.0000 0.5000 0.5000
Be: 0.5000 0.5000 0.0000
Ni: 0.5000 0.0000 0.5000



Record 9
DFT (PBE) results for a relaxed structure of PmPt2Au.

Output
Formation energy (eV per formula unit): -2.8
E above lowest polymorph (meV/atom): 96

abc: 4.6307 4.6307 5.2859
angles: 64.02 64.02 60.00
Fractional coordinates of all 4 atoms:
Pt: 0.2102 0.2102 0.3695
Au: 0.5000 0.5000 0.5000
Pm: 0.0000 0.0000 0.0000
Pt: 0.7898 0.7898 0.6305



Record 10
DFT (PBE) results for a relaxed structure of CaPr6In5.

Output
Formation energy (eV per formula unit): -3.0
E above lowest polymorph (meV/atom): 156

abc: 10.3103 6.5394 6.7939
angles: 61.23 83.92 77.29
Fractional coordinates of all 12 atoms:
Pr: 0.2765 0.9063 0.6280
Pr: 0.7235 0.4656 0.6280
Pr: 0.2765 0.5344 0.3720
In: 0.0000 0.3057 0.3885
Ca: 0.0000 0.0000 0.0000
Pr: 0.7657 0.6999 0.0000
In: 0.5000 0.8734 0.2532
In: 0.0000 0.6943 0.6115
In: 0.5000 0.1266 0.7468
In: 0.5000 0.5000 0.0000
Pr: 0.2343 0.3001 0.0000
Pr: 0.7235 0.0937 0.3720



Record 11
DFT (PBE) results for a relaxed structure of AgSb2Os.

Output
E above lowest polymorph (meV/atom): 21
Uncorrected formation energy (eV/atom): 0.34

abc: 8.8238 8.8238 8.8238
angles: 21.78 21.78 21.78
Fractional coordinates of all 4 atoms:
Ag: 0.2500 0.2500 0.2500
Sb: 0.4919 0.4919 0.4919
Sb: 0.0081 0.0081 0.0081
Os: 0.7500 0.7500 0.7500



Record 12
DFT (PBE) results for a relaxed structure of RbReGeI2.

Output
E above lowest polymorph (meV/atom): 0
Uncorrected formation energy (eV/atom): 1.06

abc: 5.4911 7.0006 5.4911
angles: 90.00 90.00 90.00
Last column: magnetic moment on the atom in μB.
Fractional coordinates of all 5 atoms:
Re: 0.0000 0.0000 0.0000  2.48
I: 0.5000 0.0000 0.0000  0.10
Rb: 0.0000 0.5000 0.0000  0.04
I: 0.0000 0.0000 0.5000  0.08
Ge: 0.5000 0.5000 0.5000  0.76



no.,total magnetization (μB/cell)
1,4.57
2,0.00
3,0.00
4,0.00
5,0.00
6,0.00
7,5.94
8,0.00
9,0.00
10,0.00
11,0.00
12,5.39